[1]
# Fe2IrAu, optimized geometry, DFT PBE-GGA
# Energy of formation from the pure elements: 0.174 eV per atom
# Calculated volume: 57 Å³/cell
# E above lowest polymorph: 100 meV/atom
# Theoretical density: 14.6 Mg/m³
data_Fe2IrAu
_space_group_name_H-M_alt 'P 1 m 1'
_space_group_IT_number 6
_cell_length_a 2.727
_cell_length_b 4.119
_cell_length_c 5.253
_cell_angle_alpha 90.00
_cell_angle_beta 104.99
_cell_angle_gamma 90.00
loop_
_space_group_symop_operation_xyz
'x,y,z'
'x,-y,z'
loop_
_atom_site_label
_atom_site_fract_x
_atom_site_fract_y
_atom_site_fract_z
Fe1 0.000 0.000 0.000
Fe2 0.115 0.500 0.265
Ir1 0.713 0.000 0.450
Au1 0.383 0.500 0.781

[2]
# Fe2IrAu, optimized geometry, DFT PBE-GGA
# Energy of formation from the pure elements: 0.544 eV per atom
# Calculated volume: 256 Å³/cell
# E above lowest polymorph: 470 meV/atom
# Theoretical density: 13.0 Mg/m³
data_Fe2IrAu
_space_group_name_H-M_alt 'I -4 2 d'
_space_group_IT_number 122
_space_group_name_Hall 'I -4 2bw'
_cell_length_a 6.919
_cell_length_b 6.919
_cell_length_c 5.347
_cell_angle_alpha 90.00
_cell_angle_beta 90.00
_cell_angle_gamma 90.00
loop_
_atom_site_label
_atom_site_fract_x
_atom_site_fract_y
_atom_site_fract_z
Fe1 0.233 0.250 0.125
Ir1 0.000 0.000 0.000
Au1 0.000 0.000 0.500

Question: Among the records above, which one has the lowest theoretical density?
Answer: number 2

Question: The highest theoretical density belongs to which entry?
Answer: number 1